Entry 1:
A relaxed structure of ZrMnAu2, computed with PBE-GGA.

abc: 3.0324 4.7902 5.0599
angles: 90.00 90.00 90.00
With the nearest neighbours (Å) after each atom.
Fractional positions:
Zr: 0.0000 0.0000 0.0000  8 Au 2.92-2.97, 2 Zr 3.03, 2 Mn 3.11
Mn: 0.0000 0.5000 0.3916  8 Au 2.83-3.07, 2 Mn 3.03, 2 Zr 3.11
Au: 0.5000 0.0000 0.4953  4 Mn 2.88, 4 Zr 2.93-2.97, 4 Au 3.03
Au: 0.5000 0.5000 0.8633  4 Mn 2.83-3.07, 4 Zr 2.92, 4 Au 3.03

## Properties
- space group = Pmm2
- formation enthalpy at 0 K (eV/f.u.) = -0.860
- calculated volume (Å³/f.u.) = 73
- mass density (g cm⁻³) = 12.20



Entry 2:
A relaxed structure of Zr2Mn2Au, computed with PBE-GGA.

abc: 6.6162 6.6162 3.9112
angles: 90.00 90.00 90.00
With the nearest neighbours (Å) after each atom.
Fractional positions:
Zr: 0.1832 0.3168 0.0000  6 Mn 2.77-2.79
Zr: 0.3168 0.8168 0.0000  6 Mn 2.77-2.79
Zr: 0.6832 0.1832 0.0000  6 Mn 2.77-2.79
Zr: 0.8168 0.6832 0.0000  6 Mn 2.77-2.79
Mn: 0.1077 0.6077 0.5000  1 Mn 2.02
Mn: 0.3923 0.1077 0.5000  1 Mn 2.02
Mn: 0.6077 0.8923 0.5000  1 Mn 2.02
Mn: 0.8923 0.3923 0.5000  1 Mn 2.02
Au: 0.0000 0.0000 0.5000  4 Mn 2.69
Au: 0.5000 0.5000 0.5000  4 Mn 2.69

## Properties
- space group = P4/mbm
- formation enthalpy at 0 K (eV/f.u.) = -0.841
- calculated volume (Å³/f.u.) = 86
- mass density (g cm⁻³) = 9.49



Entry 3:
A relaxed structure of ZrMn2Au2, computed with PBE-GGA.

abc: 7.0165 7.0165 3.3071
angles: 90.00 90.00 90.00
With the nearest neighbours (Å) after each atom.
Fractional positions:
Zr: 0.0000 0.0000 0.0000  4 Mn 2.89, 8 Au 3.04
Zr: 0.5000 0.5000 0.0000  4 Mn 2.89, 8 Au 3.04
Mn: 0.1011 0.3989 0.0000  1 Mn 2.01
Mn: 0.3989 0.8989 0.0000  1 Mn 2.01
Mn: 0.6011 0.1011 0.0000  1 Mn 2.01
Mn: 0.8989 0.6011 0.0000  1 Mn 2.01
Au: 0.1912 0.6912 0.5000  6 Mn 2.64-2.71
Au: 0.3088 0.1912 0.5000  6 Mn 2.64-2.71
Au: 0.6912 0.8088 0.5000  6 Mn 2.64-2.71
Au: 0.8088 0.3088 0.5000  6 Mn 2.64-2.71

## Properties
- distance to the lowest polymorph of the same formula (eV per formula unit) = 0.00
- space group = P4/mbm
- formation enthalpy at 0 K (eV/f.u.) = 0.875
- calculated volume (Å³/f.u.) = 81
- mass density (g cm⁻³) = 12.14



Entry 4:
A relaxed structure of ZrMnAu, computed with PBE-GGA.

abc: 3.0684 3.0684 6.8657
angles: 90.00 90.00 120.00
With the nearest neighbours (Å) after each atom.
Fractional positions:
Zr: 0.0000 0.0000 0.0000  3 Mn 2.89, 3 Au 3.01, 6 Zr 3.07
Mn: 0.3333 0.6667 0.6667  3 Au 2.78, 3 Zr 2.89, 6 Mn 3.07
Au: 0.6667 0.3333 0.3542  3 Mn 2.78, 3 Zr 3.01, 6 Au 3.07

## Properties
- distance to the lowest polymorph of the same formula (eV per formula unit) = 0.84
- space group = P3m1
- formation enthalpy at 0 K (eV/f.u.) = 0.169
- calculated volume (Å³/f.u.) = 56
- mass density (g cm⁻³) = 10.18



Entry 5:
A relaxed structure of ZrMnAu2, computed with PBE-GGA.

abc: 9.2111 9.2111 9.2111
angles: 19.36 19.36 19.36
With the nearest neighbours (Å) after each atom.
Fractional positions:
Zr: 0.0000 0.0000 0.0000  3 Mn 2.90, 3 Au 2.93, 6 Zr 3.10
Mn: 0.7511 0.7511 0.7511  3 Au 2.73, 3 Zr 2.90
Au: 0.2476 0.2476 0.2476  3 Zr 2.93, 9 Au 2.96-3.10
Au: 0.4938 0.4938 0.4938  3 Mn 2.73, 3 Au 2.96

## Properties
- space group = R3m
- formation enthalpy at 0 K (eV/f.u.) = 0.028
- calculated volume (Å³/f.u.) = 75
- mass density (g cm⁻³) = 11.94



Entry 6:
A relaxed structure of ZrMnAu, computed with PBE-GGA.

abc: 3.9066 4.2790 6.6995
angles: 90.00 106.92 90.00
With the nearest neighbours (Å) after each atom.
Fractional positions:
Zr: 0.0934 0.2500 0.1853  4 Mn 2.85-2.90, 6 Au 2.90-3.08
Zr: 0.9066 0.7500 0.8147  4 Mn 2.85-2.90, 6 Au 2.90-3.08
Mn: 0.2452 0.7500 0.4897  4 Au 2.76-2.99, 4 Zr 2.85-2.90, 4 Mn 2.90
Mn: 0.7548 0.2500 0.5103  4 Au 2.76-2.99, 4 Zr 2.85-2.90, 4 Mn 2.90
Au: 0.4068 0.2500 0.8152  4 Mn 2.76-2.99, 6 Zr 2.90-3.08
Au: 0.5932 0.7500 0.1848  4 Mn 2.76-2.99, 6 Zr 2.90-3.08

## Properties
- distance to the lowest polymorph of the same formula (eV per formula unit) = 0.26
- space group = P2_1/m
- formation enthalpy at 0 K (eV/f.u.) = -0.410
- calculated volume (Å³/f.u.) = 54
- mass density (g cm⁻³) = 10.64



Entry 7:
A relaxed structure of ZrMnAu2, computed with PBE-GGA.

abc: 3.4340 3.4340 6.1699
angles: 90.00 90.00 90.00
With the nearest neighbours (Å) after each atom.
Fractional positions:
Zr: 0.0000 0.0000 0.0000  6 Au 2.89-3.20, 4 Mn 2.95
Mn: 0.5000 0.5000 0.7286  5 Au 2.75-2.92, 4 Zr 2.95
Au: 0.0000 0.0000 0.5194  4 Mn 2.75, 4 Au 2.93, 1 Zr 2.97
Au: 0.5000 0.5000 0.2549  4 Zr 2.89, 1 Mn 2.92, 4 Au 2.93

## Properties
- space group = P4mm
- formation enthalpy at 0 K (eV/f.u.) = -1.058
- calculated volume (Å³/f.u.) = 73
- mass density (g cm⁻³) = 12.33



Entry 8:
A relaxed structure of ZrMn3Au, computed with PBE-GGA.

abc: 4.7433 4.7433 4.7433
angles: 90.00 90.00 90.00
With the nearest neighbours (Å) after each atom.
Fractional positions:
Zr: 0.0000 0.0000 0.0000  6 Mn 2.37
Mn: 0.0000 0.0000 0.5000  2 Zr 2.37
Mn: 0.0000 0.5000 0.0000  2 Zr 2.37
Mn: 0.5000 0.0000 0.0000  2 Zr 2.37
Au: 0.5000 0.5000 0.5000  12 Mn 3.35

## Properties
- distance to the lowest polymorph of the same formula (eV per formula unit) = 2.06
- space group = Pm-3m
- formation enthalpy at 0 K (eV/f.u.) = 6.873
- calculated volume (Å³/f.u.) = 107
- mass density (g cm⁻³) = 7.05



Entry 9:
A relaxed structure of ZrMnAu2, computed with PBE-GGA.

abc: 4.6605 4.6605 4.6605
angles: 60.00 60.00 60.00
With the nearest neighbours (Å) after each atom.
Fractional positions:
Zr: 0.0000 0.0000 0.0000  4 Mn 2.85, 4 Au 2.85
Mn: 0.2500 0.2500 0.2500  4 Zr 2.85, 4 Au 2.85
Au: 0.5000 0.5000 0.5000  4 Mn 2.85, 4 Au 2.85
Au: 0.7500 0.7500 0.7500  4 Zr 2.85, 4 Au 2.85

## Properties
- space group = F-43m
- formation enthalpy at 0 K (eV/f.u.) = -0.691
- calculated volume (Å³/f.u.) = 72
- mass density (g cm⁻³) = 12.53



Entry 10:
A relaxed structure of ZrMnAu3, computed with PBE-GGA.

abc: 4.8201 4.8201 4.8201
angles: 90.00 90.00 90.00
With the nearest neighbours (Å) after each atom.
Fractional positions:
Zr: 0.0000 0.0000 0.0000  12 Au 3.41
Mn: 0.5000 0.5000 0.5000  6 Au 2.41
Au: 0.0000 0.5000 0.5000  2 Mn 2.41
Au: 0.5000 0.0000 0.5000  2 Mn 2.41
Au: 0.5000 0.5000 0.0000  2 Mn 2.41

## Properties
- distance to the lowest polymorph of the same formula (eV per formula unit) = 0.00
- space group = Pm-3m
- formation enthalpy at 0 K (eV/f.u.) = 2.651
- calculated volume (Å³/f.u.) = 112
- mass density (g cm⁻³) = 10.93



Entry 11:
A relaxed structure of ZrMnAu2, computed with PBE-GGA.

abc: 10.2626 10.2626 10.2626
angles: 157.85 157.85 31.53
With the nearest neighbours (Å) after each atom.
Fractional positions:
Zr: 0.0000 0.0000 0.0000  4 Mn 2.79, 4 Au 2.85
Zr: 0.7500 0.2500 0.5000  4 Mn 2.79, 4 Au 2.85
Mn: 0.2500 0.7500 0.5000  4 Zr 2.79, 4 Au 2.82
Mn: 0.5000 0.5000 0.0000  4 Zr 2.79, 4 Au 2.82
Au: 0.1359 0.6250 0.0109  4 Au 2.73-2.85, 2 Mn 2.82, 2 Zr 2.85
Au: 0.3750 0.3859 0.5109  4 Au 2.73-2.85, 2 Mn 2.82, 2 Zr 2.85
Au: 0.6141 0.1250 0.9891  4 Au 2.73-2.85, 2 Mn 2.82, 2 Zr 2.85
Au: 0.8750 0.8641 0.4891  4 Au 2.73-2.85, 2 Mn 2.82, 2 Zr 2.85

## Properties
- space group = I-42d
- formation enthalpy at 0 K (eV/f.u.) = 0.579
- calculated volume (Å³/f.u.) = 77
- mass density (g cm⁻³) = 11.68



Entry 12:
A relaxed structure of ZrMn2Au2, computed with PBE-GGA.

abc: 7.2127 7.2127 7.2127
angles: 151.81 151.81 40.29
With the nearest neighbours (Å) after each atom.
Fractional positions:
Zr: 0.0000 0.0000 0.0000  8 Au 2.85
Mn: 0.2500 0.7500 0.5000  4 Mn 2.48, 4 Au 2.65
Mn: 0.7500 0.2500 0.5000  4 Mn 2.48, 4 Au 2.65
Au: 0.3962 0.3962 0.0000  4 Mn 2.65, 1 Au 2.81, 4 Zr 2.85
Au: 0.6038 0.6038 0.0000  4 Mn 2.65, 1 Au 2.81, 4 Zr 2.85

## Properties
- distance to the lowest polymorph of the same formula (eV per formula unit) = 0.20
- space group = I4/mmm
- formation enthalpy at 0 K (eV/f.u.) = 1.076
- calculated volume (Å³/f.u.) = 84
- mass density (g cm⁻³) = 11.82



Entry 13:
A relaxed structure of Zr6MnAu2, computed with PBE-GGA.

abc: 7.9267 7.9267 3.3841
angles: 90.00 90.00 120.00
With the nearest neighbours (Å) after each atom.
Fractional positions:
Zr: 0.0000 0.3947 0.0000  4 Au 2.97, 1 Mn 3.13, 4 Zr 3.22
Zr: 0.0000 0.7555 0.5000  2 Mn 2.57
Zr: 0.2445 0.2445 0.5000  2 Mn 2.57
Zr: 0.3947 0.0000 0.0000  4 Au 2.97, 1 Mn 3.13, 4 Zr 3.22
Zr: 0.6053 0.6053 0.0000  4 Au 2.97, 1 Mn 3.13, 4 Zr 3.22
Zr: 0.7555 0.0000 0.5000  2 Mn 2.57
Mn: 0.0000 0.0000 0.0000  6 Zr 2.57
Au: 0.3333 0.6667 0.5000  9 Zr 2.97-3.06
Au: 0.6667 0.3333 0.5000  9 Zr 2.97-3.06

## Properties
- space group = P-62m
- formation enthalpy at 0 K (eV/f.u.) = -2.583
- calculated volume (Å³/f.u.) = 184
- mass density (g cm⁻³) = 8.98



Entry 14:
A relaxed structure of ZrMnAu, computed with PBE-GGA.

abc: 5.1730 5.1730 5.1730
angles: 141.37 140.78 56.23
With the nearest neighbours (Å) after each atom.
Fractional positions:
Zr: 0.0000 0.0000 0.0000  5 Mn 2.86-3.07, 5 Au 2.92-2.96
Mn: 0.3369 0.3369 0.0000  5 Au 2.85-3.09, 5 Zr 2.86-3.07
Au: 0.6755 0.6755 0.0000  5 Mn 2.85-3.09, 5 Zr 2.92-2.96

## Properties
- distance to the lowest polymorph of the same formula (eV per formula unit) = 0.00
- space group = Imm2
- formation enthalpy at 0 K (eV/f.u.) = -0.672
- calculated volume (Å³/f.u.) = 54
- mass density (g cm⁻³) = 10.51



Entry 15:
A relaxed structure of Zr2MnAu2, computed with PBE-GGA.

abc: 7.0521 7.0521 3.8965
angles: 90.00 90.00 90.00
With the nearest neighbours (Å) after each atom.
Fractional positions:
Zr: 0.1737 0.3263 0.0000  6 Au 2.72-2.94
Zr: 0.3263 0.8263 0.0000  6 Au 2.72-2.94
Zr: 0.6737 0.1737 0.0000  6 Au 2.72-2.94
Zr: 0.8263 0.6737 0.0000  6 Au 2.72-2.94
Mn: 0.0000 0.0000 0.5000  4 Au 2.74
Mn: 0.5000 0.5000 0.5000  4 Au 2.74
Au: 0.1360 0.6360 0.5000  1 Au 2.71, 6 Zr 2.72-2.94, 2 Mn 2.74
Au: 0.3640 0.1360 0.5000  1 Au 2.71, 6 Zr 2.72-2.94, 2 Mn 2.74
Au: 0.6360 0.8640 0.5000  1 Au 2.71, 6 Zr 2.72-2.94, 2 Mn 2.74
Au: 0.8640 0.3640 0.5000  1 Au 2.71, 6 Zr 2.72-2.94, 2 Mn 2.74

## Properties
- space group = P4/mbm
- formation enthalpy at 0 K (eV/f.u.) = 0.065
- calculated volume (Å³/f.u.) = 97
- mass density (g cm⁻³) = 10.82



Entry 16:
A relaxed structure of ZrMnAu, computed with PBE-GGA.

abc: 4.5235 4.5235 4.5235
angles: 60.00 60.00 60.00
With the nearest neighbours (Å) after each atom.
Fractional positions:
Zr: 0.0000 0.0000 0.0000  4 Au 2.77
Mn: 0.5000 0.5000 0.5000  4 Au 2.77
Au: 0.2500 0.2500 0.2500  4 Zr 2.77, 4 Mn 2.77

## Properties
- distance to the lowest polymorph of the same formula (eV per formula unit) = 1.04
- space group = F-43m
- formation enthalpy at 0 K (eV/f.u.) = 0.368
- calculated volume (Å³/f.u.) = 65
- mass density (g cm⁻³) = 8.71



Entry 17:
A relaxed structure of Zr3MnAu, computed with PBE-GGA.

abc: 5.1236 5.1236 5.1236
angles: 90.00 90.00 90.00
With the nearest neighbours (Å) after each atom.
Fractional positions:
Zr: 0.0000 0.0000 0.5000  2 Au 2.56
Zr: 0.0000 0.5000 0.0000  2 Au 2.56
Zr: 0.5000 0.0000 0.0000  2 Au 2.56
Mn: 0.5000 0.5000 0.5000  12 Zr 3.62
Au: 0.0000 0.0000 0.0000  6 Zr 2.56

## Properties
- distance to the lowest polymorph of the same formula (eV per formula unit) = 5.29
- space group = Pm-3m
- formation enthalpy at 0 K (eV/f.u.) = 6.497
- calculated volume (Å³/f.u.) = 135
- mass density (g cm⁻³) = 6.49



Entry 18:
A relaxed structure of ZrMnAu, computed with PBE-GGA.

abc: 4.5310 4.5310 4.5310
angles: 60.00 60.00 60.00
With the nearest neighbours (Å) after each atom.
Fractional positions:
Zr: 0.0000 0.0000 0.0000  4 Mn 2.77, 4 Au 2.77
Mn: 0.2500 0.2500 0.2500  4 Zr 2.77
Au: 0.7500 0.7500 0.7500  4 Zr 2.77

## Properties
- distance to the lowest polymorph of the same formula (eV per formula unit) = 2.01
- space group = F-43m
- formation enthalpy at 0 K (eV/f.u.) = 1.342
- calculated volume (Å³/f.u.) = 66
- mass density (g cm⁻³) = 8.66



Entry 19:
A relaxed structure of MoAu7, computed with PBE-GGA.

abc: 5.8994 5.8994 5.8994
angles: 60.00 60.00 60.00
With the nearest neighbours (Å) after each atom.
Fractional positions:
Mo: 0.0000 0.0000 0.0000  12 Au 2.95
Au: 0.0000 0.0000 0.5000  2 Mo 2.95, 10 Au 2.95
Au: 0.0000 0.5000 0.0000  2 Mo 2.95, 10 Au 2.95
Au: 0.0000 0.5000 0.5000  2 Mo 2.95, 10 Au 2.95
Au: 0.5000 0.0000 0.0000  2 Mo 2.95, 10 Au 2.95
Au: 0.5000 0.0000 0.5000  2 Mo 2.95, 10 Au 2.95
Au: 0.5000 0.5000 0.0000  2 Mo 2.95, 10 Au 2.95
Au: 0.5000 0.5000 0.5000  12 Au 2.95

## Properties
- space group = Fm-3m
- formation enthalpy at 0 K (eV/f.u.) = 1.869
- calculated volume (Å³/f.u.) = 145
- mass density (g cm⁻³) = 16.87



Entry 20:
A relaxed structure of MoAu3, computed with PBE-GGA.

abc: 5.8304 5.8304 5.8304
angles: 152.25 128.57 59.44
With the nearest neighbours (Å) after each atom.
Fractional positions:
Mo: 0.0000 0.0000 0.0000  2 Mo 2.80, 8 Au 2.82-2.89
Au: 0.2414 0.7414 0.5000  8 Au 2.80-2.97, 2 Mo 2.82
Au: 0.5000 0.5000 0.0000  6 Au 2.80-2.97, 4 Mo 2.89
Au: 0.7586 0.2586 0.5000  8 Au 2.80-2.97, 2 Mo 2.82

## Properties
- space group = Immm
- formation enthalpy at 0 K (eV/f.u.) = 1.326
- calculated volume (Å³/f.u.) = 72
- mass density (g cm⁻³) = 15.92